Entry 1:
Rb3NaU2O9 | PBE | optimized geometry

Computed properties:
- SG: No. 164
- Crystal system: trigonal

abc: 6.2416 6.2416 7.6770
angles: 90.00 90.00 120.00
Last column: magnetic moment on the atom in μB.
Positions (direct):
Rb: 0.3333 0.6667 0.6524  0.00
Rb: 0.0000 0.0000 0.0000  0.00
Rb: 0.6667 0.3333 0.3476  0.00
O: 0.0000 0.5000 0.0000  0.12
O: 0.1824 0.3647 0.3070  0.22
O: 0.5000 0.0000 0.0000  0.12
O: 0.6353 0.8176 0.3070  0.22
O: 0.5000 0.5000 0.0000  0.12
O: 0.8176 0.1824 0.6930  0.22
O: 0.1824 0.8176 0.3070  0.22
O: 0.8176 0.6353 0.6930  0.22
O: 0.3647 0.1824 0.6930  0.22
U: 0.6667 0.3333 0.8388  0.04
U: 0.3333 0.6667 0.1612  0.04
Na: 0.0000 0.0000 0.5000  0.00

Entry 2:
Rb2NaU2O7 | PBE | optimized geometry

Computed properties:
- SG: No. 139
- Crystal system: tetragonal

abc: 4.3284 4.3284 11.8260
angles: 79.47 79.47 90.00
Last column: magnetic moment on the atom in μB.
Positions (direct):
O: 0.6795 0.6795 0.6407  -0.02
O: 0.9107 0.4108 0.1788  -0.02
O: 0.4108 0.9107 0.1788  -0.02
O: 0.3205 0.3205 0.3593  -0.02
O: 0.5892 0.0893 0.8212  -0.02
O: 0.0893 0.5892 0.8212  -0.02
O: 0.5000 0.5000 0.0000  -0.02
Na: 0.0000 0.0000 0.0000  0.00
Rb: 0.8090 0.8090 0.3822  0.00
Rb: 0.1910 0.1910 0.6178  0.00
U: 0.4073 0.4073 0.1856  0.55
U: 0.5927 0.5927 0.8144  0.55

In the order shown, the computed uncorrected formation energy values come out to -2.337; -2.708 eV/atom.